RbMnF3: optimized geometry, GGA+U.

**DOS(E_F)**: 0.00 states/eV per cell
**Electronic total energy**: -5.501 eV/atom
**Volume**: 175.8 Å³/cell

Cell: 4.2378 6.5050 6.6366 Å, 90.00 106.05 90.00°
Last column: magnetic moment on the atom in μB.
Sites, in units of the cell vectors:
Mn 0.9923 0.2500 0.4715  4.69
Mn 0.0077 0.7500 0.5285  4.69
Rb 0.6822 0.2500 0.9060  0.00
Rb 0.3178 0.7500 0.0940  0.00
F 0.8975 0.9824 0.2700  0.04
F 0.1025 0.0176 0.7300  0.04
F 0.8975 0.5176 0.2700  0.04
F 0.1025 0.4824 0.7300  0.04
F 0.4881 0.2500 0.4639  0.04
F 0.5119 0.7500 0.5361  0.04